(1)
{
  "formula": "YAgOF2",
  "functional": "PBE",
  "state": "relaxed",
  "de_polymorph_mev_per_atom": 1090.3,
  "energy_ev_per_atom": -5.01,
  "lattice_angstrom": [[4.3552, 0.0000, 0.0000], [0.0000, 4.3552, 0.0000], [0.0000, 0.0000, 4.1970]],
  "species": ["Y", "Ag", "O", "F", "F"],
  "frac_coords": [[0.0000, 0.0000, 0.0000], [0.5000, 0.5000, 0.5000], [0.5000, 0.5000, 0.0000], [0.0000, 0.5000, 0.5000], [0.5000, 0.0000, 0.5000]]
}

(2)
{
  "formula": "TaS3Cl",
  "functional": "PBE",
  "state": "relaxed",
  "de_polymorph_mev_per_atom": 212.5,
  "energy_ev_per_atom": -5.34,
  "lattice_angstrom": [[4.7836, 0.0000, 0.0000], [0.0000, 4.7836, 0.0000], [0.0000, 0.0000, 4.7836]],
  "species": ["Ta", "S", "S", "S", "Cl"],
  "frac_coords": [[0.0000, 0.0000, 0.0000], [0.0000, 0.0000, 0.5000], [0.0000, 0.5000, 0.0000], [0.5000, 0.0000, 0.0000], [0.5000, 0.5000, 0.5000]]
}

Number 1 is which compound? YAgOF2